1.
A plane-wave DFT calculation with PBE was carried out for an optimized crystal structure of LiCClO2.

E = -6.033 eV/atom
formation energy from raw total energies = -1.453 eV/atom
DOS(E_F) = 0.00 states/eV/cell

Lattice parameters (Å, degrees): 4.5293 7.4725 5.6724 89.58 90.00 90.00
Element x y z (fractional)
Li (0.7500, 0.3848, 0.6165)
Li (0.2500, 0.6152, 0.3835)
C (0.2500, 0.8574, 0.8092)
C (0.7500, 0.1426, 0.1908)
Cl (0.7500, 0.5789, 0.2746)
Cl (0.2500, 0.4211, 0.7254)
O (0.7500, 0.1370, 0.9844)
O (0.2500, 0.8630, 0.0156)
O (0.2500, 0.8560, 0.6015)
O (0.7500, 0.1440, 0.3985)

=====

2.
A plane-wave DFT calculation with PBE was carried out for an optimized crystal structure of HfPaTcIr.

E = -10.162 eV/atom
DOS(E_F) = 5.43 states/eV/cell

Lattice parameters (Å, degrees): 4.7635 4.7635 4.7635 60.00 60.00 60.00
Element x y z (fractional)
Pa (0.0000, 0.0000, 0.0000)
Hf (0.5000, 0.5000, 0.5000)
Tc (0.2500, 0.2500, 0.2500)
Ir (0.7500, 0.7500, 0.7500)

=====

3.
A plane-wave DFT calculation with PBE was carried out for an optimized crystal structure of RbNd2O.

E = -4.873 eV/atom
formation energy from raw total energies = -1.007 eV/atom
DOS(E_F) = 3.50 states/eV/cell

Lattice parameters (Å, degrees): 3.7668 3.7668 10.7593 79.92 79.92 60.00
Element x y z (fractional)
Nd (0.1250, 0.1250, 0.6250)
Nd (0.8750, 0.8750, 0.3750)
O (0.5000, 0.5000, 0.5000)
Rb (0.0000, 0.0000, 0.0000)

=====

4.
A plane-wave DFT calculation with PBE was carried out for an optimized crystal structure of TeAuSe2.

E = -3.171 eV/atom
energy above the most stable polymorph in this dataset = 56 kJ/mol of formula units
formation energy from raw total energies = 0.176 eV/atom
DOS(E_F) = 2.83 states/eV/cell

Lattice parameters (Å, degrees): 4.6292 4.6292 7.5356 90.00 90.00 130.42
Element x y z (fractional)
Au (0.5000, 0.5000, 0.7500)
Se (0.0000, 0.0000, 0.9817)
Se (0.0000, 0.0000, 0.5183)
Te (0.5000, 0.5000, 0.2500)

=====

5.
A plane-wave DFT calculation with PBE was carried out for an optimized crystal structure of Cs2ErP2S6.

E = -4.685 eV/atom
formation energy from raw total energies = -0.880 eV/atom
DOS(E_F) = 3.59 states/eV/cell

Lattice parameters (Å, degrees): 7.0349 7.0773 8.1201 114.29 90.00 119.80
Element x y z (fractional)
Cs (0.7208, 0.4417, 0.1941)
Cs (0.2792, 0.5583, 0.8059)
Er (0.5000, 0.0000, 0.5000)
P (0.9417, 0.8835, 0.8149)
P (0.0583, 0.1165, 0.1851)
S (0.7472, 0.4944, 0.6486)
S (0.2216, 0.9575, 0.2301)
S (0.2642, 0.0425, 0.7699)
S (0.7784, 0.0425, 0.7699)
S (0.7358, 0.9575, 0.2301)
S (0.2528, 0.5056, 0.3514)

=====

6.
A plane-wave DFT calculation with PBE was carried out for an optimized crystal structure of Ho5CuRh4.

E = -6.415 eV/atom
DOS(E_F) = 7.50 states/eV/cell

Lattice parameters (Å, degrees): 3.4095 3.4095 17.2720 90.00 90.00 90.00
Element x y z (fractional)
Ho (0.5000, 0.5000, 0.1032)
Ho (0.5000, 0.5000, 0.3009)
Ho (0.5000, 0.5000, 0.5000)
Ho (0.5000, 0.5000, 0.6991)
Ho (0.5000, 0.5000, 0.8968)
Cu (0.0000, 0.0000, 0.0000)
Rh (0.0000, 0.0000, 0.2012)
Rh (0.0000, 0.0000, 0.4007)
Rh (0.0000, 0.0000, 0.5993)
Rh (0.0000, 0.0000, 0.7988)

=====

7.
A plane-wave DFT calculation with PBE was carried out for an optimized crystal structure of Li2Er3Zn9.

E = -2.368 eV/atom
DOS(E_F) = 7.11 states/eV/cell

Lattice parameters (Å, degrees): 4.4388 8.1878 8.1878 63.20 74.27 74.27
Element x y z (fractional)
Li (0.5000, 0.3211, 0.6789)
Li (0.5000, 0.6789, 0.3211)
Er (0.0000, 0.0000, 0.0000)
Er (0.7190, 0.2810, 0.2810)
Er (0.2810, 0.7190, 0.7190)
Zn (0.0000, 0.5000, 0.5000)
Zn (0.6565, 0.9891, 0.6979)
Zn (0.3435, 0.0109, 0.3021)
Zn (0.6565, 0.6979, 0.9891)
Zn (0.3435, 0.3021, 0.0109)
Zn (0.8642, 0.8456, 0.4260)
Zn (0.1358, 0.1544, 0.5740)
Zn (0.8642, 0.4260, 0.8456)
Zn (0.1358, 0.5740, 0.1544)

=====

8.
A plane-wave DFT calculation with PBE was carried out for an optimized crystal structure of MgTc2P.

E = -6.777 eV/atom
energy above the most stable polymorph in this dataset = 188 kJ/mol of formula units
DOS(E_F) = 4.82 states/eV/cell

Lattice parameters (Å, degrees): 4.3441 4.3441 4.3441 60.00 60.00 60.00
Element x y z (fractional)
Mg (0.5000, 0.5000, 0.5000)
P (0.2500, 0.2500, 0.2500)
Tc (0.0000, 0.0000, 0.0000)
Tc (0.7500, 0.7500, 0.7500)

=====

9.
A plane-wave DFT calculation with PBE was carried out for an optimized crystal structure of HfGe2Pt.

E = -6.785 eV/atom
DOS(E_F) = 2.72 states/eV/cell

Lattice parameters (Å, degrees): 3.7485 4.2597 4.2597 90.00 90.00 90.00
Element x y z (fractional)
Ge (0.0000, 0.0000, 0.5000)
Ge (0.0000, 0.5000, 0.0000)
Hf (0.5000, 0.5000, 0.5000)
Pt (0.5000, 0.0000, 0.0000)

=====

10.
A plane-wave DFT calculation with PBE was carried out for an optimized crystal structure of Sn2F13.

E = -3.562 eV/atom
formation energy from raw total energies = -1.406 eV/atom
DOS(E_F) = 9.81 states/eV/cell

Lattice parameters (Å, degrees): 4.6554 6.7565 7.1630 108.88 91.46 106.63
Element x y z (fractional)
Sn (0.8369, 0.9154, 0.6947)
Sn (0.1631, 0.0846, 0.3053)
F (0.6544, 0.5583, 0.0417)
F (0.3456, 0.4417, 0.9583)
F (0.0000, 0.0000, 0.0000)
F (0.2441, 0.0227, 0.5902)
F (0.7559, 0.9773, 0.4098)
F (0.0242, 0.6708, 0.6826)
F (0.9758, 0.3292, 0.3174)
F (0.5781, 0.6361, 0.4590)
F (0.4219, 0.3639, 0.5410)
F (0.4641, 0.8195, 0.8305)
F (0.5359, 0.1805, 0.1695)
F (0.8372, 0.2182, 0.7899)
F (0.1628, 0.7818, 0.2101)

=====

11.
A plane-wave DFT calculation with PBE was carried out for an optimized crystal structure of Fe2SiBr.

E = -5.858 eV/atom
energy above the most stable polymorph in this dataset = 27 kJ/mol of formula units
formation energy from raw total energies = 0.147 eV/atom
DOS(E_F) = 2.29 states/eV/cell

Lattice parameters (Å, degrees): 6.8654 6.8654 6.8654 150.51 153.84 39.82
Element x y z (fractional)
Br (0.2792, 0.7792, 0.5000)
Fe (0.0165, 0.0165, 0.0000)
Fe (0.6659, 0.1659, 0.5000)
Si (0.5383, 0.5383, 0.0000)

=====

12.
A plane-wave DFT calculation with PBE was carried out for an optimized crystal structure of TbSmP2O8.

E = -7.872 eV/atom
formation energy from raw total energies = -2.886 eV/atom
DOS(E_F) = 0.00 states/eV/cell

Lattice parameters (Å, degrees): 5.2723 5.2723 7.1027 90.00 90.00 120.00
Element x y z (fractional)
Tb (0.0000, 0.0000, 0.5000)
Sm (0.0000, 0.0000, 0.0000)
P (0.6667, 0.3333, 0.1982)
P (0.3333, 0.6667, 0.8018)
O (0.3333, 0.6667, 0.0165)
O (0.3467, 0.1739, 0.2738)
O (0.8261, 0.1728, 0.2738)
O (0.6667, 0.3333, 0.9835)
O (0.1739, 0.8272, 0.7262)
O (0.6533, 0.8261, 0.7262)
O (0.1728, 0.3467, 0.7262)
O (0.8272, 0.6533, 0.2738)

=====

13.
A plane-wave DFT calculation with PBE was carried out for an optimized crystal structure of Ac3Y2PuTe6.

E = -6.240 eV/atom
formation energy from raw total energies = -1.370 eV/atom
DOS(E_F) = 12.66 states/eV/cell

Lattice parameters (Å, degrees): 4.5022 9.2333 10.2514 104.35 102.69 90.00
Element x y z (fractional)
Ac (0.5000, 0.5000, 0.0000)
Ac (0.8349, 0.1677, 0.6697)
Ac (0.1651, 0.8323, 0.3303)
Y (0.8358, 0.6719, 0.6716)
Y (0.1642, 0.3281, 0.3284)
Pu (0.5000, 0.0000, 0.0000)
Te (0.3369, 0.9028, 0.6738)
Te (0.6734, 0.5679, 0.3469)
Te (0.6631, 0.0972, 0.3262)
Te (0.0057, 0.2391, 0.0114)
Te (0.9943, 0.7609, 0.9886)
Te (0.3266, 0.4321, 0.6531)

=====

14.
A plane-wave DFT calculation with PBE was carried out for an optimized crystal structure of Zr2HRh.

E = -7.283 eV/atom
energy above the most stable polymorph in this dataset = 27 kJ/mol of formula units
DOS(E_F) = 3.30 states/eV/cell

Lattice parameters (Å, degrees): 3.1819 3.1819 7.1813 77.20 77.20 60.00
Element x y z (fractional)
H (0.5000, 0.5000, 0.5000)
Rh (0.0000, 0.0000, 0.0000)
Zr (0.2322, 0.2322, 0.3034)
Zr (0.7678, 0.7678, 0.6966)

=====

15.
A plane-wave DFT calculation with PBE was carried out for an optimized crystal structure of GdTm2Mg.

E = -6.134 eV/atom
energy above the most stable polymorph in this dataset = 14 kJ/mol of formula units
DOS(E_F) = 6.07 states/eV/cell

Lattice parameters (Å, degrees): 4.9422 4.8572 4.8572 90.00 90.00 90.00
Element x y z (fractional)
Gd (0.5000, 0.0000, 0.0000)
Mg (0.5000, 0.5000, 0.5000)
Tm (0.0000, 0.0000, 0.5000)
Tm (0.0000, 0.5000, 0.0000)

=====

16.
A plane-wave DFT calculation with PBE was carried out for an optimized crystal structure of NaCd2SeO4.

E = -4.193 eV/atom
formation energy from raw total energies = -0.885 eV/atom
DOS(E_F) = 3.14 states/eV/cell

Lattice parameters (Å, degrees): 6.4107 6.4107 7.3062 117.41 117.41 91.81
Element x y z (fractional)
Na (0.0000, 0.5000, 0.0000)
Na (0.0000, 0.5000, 0.5000)
Cd (0.5000, 0.0000, 0.0000)
Cd (0.5000, 0.0000, 0.5000)
Cd (0.0000, 0.0000, 0.5000)
Cd (0.5000, 0.5000, 0.0000)
Se (0.5000, 0.5000, 0.5000)
Se (0.0000, 0.0000, 0.0000)
O (0.2367, 0.8004, 0.0293)
O (0.6996, 0.2633, 0.4707)
O (0.3004, 0.7367, 0.5293)
O (0.7633, 0.1996, 0.9707)
O (0.8340, 0.8411, 0.1135)
O (0.6589, 0.6660, 0.3865)
O (0.3411, 0.3340, 0.6135)
O (0.1660, 0.1589, 0.8865)

=====

17.
A plane-wave DFT calculation with PBE was carried out for an optimized crystal structure of LiSi2Tc.

E = -5.935 eV/atom
energy above the most stable polymorph in this dataset = 56 kJ/mol of formula units
formation energy from raw total energies = -0.154 eV/atom
DOS(E_F) = 1.85 states/eV/cell

Lattice parameters (Å, degrees): 4.3335 4.3335 5.1065 80.56 80.56 40.07
Element x y z (fractional)
Li (0.2500, 0.2500, 0.2500)
Si (0.0160, 0.0160, 0.9400)
Si (0.4840, 0.4840, 0.5600)
Tc (0.7500, 0.7500, 0.7500)

=====

18.
A plane-wave DFT calculation with PBE was carried out for an optimized crystal structure of SrZn2In.

E = -1.830 eV/atom
DOS(E_F) = 3.18 states/eV/cell

Lattice parameters (Å, degrees): 4.8403 8.0758 4.2935 57.82 90.05 126.73
Element x y z (fractional)
In (0.5000, 0.5000, 0.0000)
Sr (0.5000, 0.0000, 0.5000)
Zn (0.0000, 0.0000, 0.0000)
Zn (0.0000, 0.5000, 0.5000)

=====

19.
A plane-wave DFT calculation with PBE was carried out for an optimized crystal structure of LiThAlOs.

E = -6.306 eV/atom
DOS(E_F) = 3.31 states/eV/cell

Lattice parameters (Å, degrees): 4.7299 4.7299 4.7299 60.00 60.00 60.00
Element x y z (fractional)
Os (0.0000, 0.0000, 0.0000)
Al (0.2500, 0.2500, 0.2500)
Th (0.7500, 0.7500, 0.7500)
Li (0.5000, 0.5000, 0.5000)

=====

20.
A plane-wave DFT calculation with PBE was carried out for an optimized crystal structure of KGa4Pt6.

E = -5.068 eV/atom
DOS(E_F) = 3.04 states/eV/cell

Lattice parameters (Å, degrees): 3.9681 7.4127 7.4127 120.00 90.00 90.00
Element x y z (fractional)
K (0.0000, 0.0000, 0.0000)
Ga (0.5000, 0.8024, 0.6049)
Ga (0.5000, 0.3951, 0.1976)
Ga (0.5000, 0.8024, 0.1976)
Ga (0.0000, 0.3333, 0.6667)
Pt (0.0000, 0.5334, 0.0669)
Pt (0.5000, 0.5971, 0.7985)
Pt (0.0000, 0.5334, 0.4666)
Pt (0.0000, 0.9331, 0.4666)
Pt (0.5000, 0.2015, 0.7985)
Pt (0.5000, 0.2015, 0.4029)